Sr3Ca3Zn4 GGA-PBE optimized geometry; DOS(E_F) = 9.91 states/eV/cell; uncorrected energy = -0.0655 hartree per atom
1.0
-0.7518 2.2709 -4.1691
-7.9515 0.7596 1.8475
1.5360 7.1854 3.6368
Zn Ca Sr
4 3 3
direct
0.0000 0.8917 0.8804
0.0000 0.3762 0.6238
0.0000 0.1196 0.1083
0.0000 0.6152 0.3848
0.0000 0.0016 0.5051
0.0000 0.4949 0.9984
0.5000 0.1724 0.8276
0.5000 0.8304 0.1696
0.5000 0.6719 0.6740
0.5000 0.3260 0.3281